Computed, not measured: a relaxed As3IrC crystal at the PBE level of DFT.

Properties
Formation enthalpy at 0 K (eV per formula unit): 9.32
E (eV per atom): -4.543

a = 4.8317 Å, b = 4.8317 Å, c = 4.8317 Å
α = 90.00°, β = 90.00°, γ = 90.00°
Positions (direct):
As: 0.0000 0.5000 0.0000
As: 0.0000 0.0000 0.5000
As: 0.5000 0.0000 0.0000
Ir: 0.0000 0.0000 0.0000
C: 0.5000 0.5000 0.5000

Computed, not measured: a relaxed Sn2GeBSb crystal at the PBE level of DFT.

Properties
Formation energy (no corrections) (eV/atom): 1.6753
E (eV per atom): -3.009

a = 5.7998 Å, b = 5.1982 Å, c = 5.7998 Å
α = 90.00°, β = 90.00°, γ = 90.00°
Positions (direct):
Sb: 0.0000 0.0000 0.0000
Ge: 0.0000 0.5000 0.0000
B: 0.5000 0.5000 0.5000
Sn: 0.0000 0.0000 0.5000
Sn: 0.5000 0.0000 0.0000

Computed, not measured: a relaxed NiPtBr2 crystal at the PBE level of DFT.

Properties
Formation energy (no corrections) (eV/atom): 0.4710
E (eV per atom): -3.321

a = 3.7248 Å, b = 3.7248 Å, c = 7.7235 Å
α = 90.00°, β = 90.00°, γ = 127.63°
Positions (direct):
Br: 0.0000 0.0000 0.0213
Br: 0.0000 0.0000 0.4787
Ni: 0.5000 0.5000 0.2500
Pt: 0.5000 0.5000 0.7500

Computed, not measured: a relaxed Al2ZnIrOs crystal at the PBE level of DFT.

Properties
Formation enthalpy at 0 K (eV per formula unit): 6.02
E (eV per atom): -4.566

a = 4.3808 Å, b = 4.4605 Å, c = 4.3808 Å
α = 90.00°, β = 90.00°, γ = 90.00°
Positions (direct):
Zn: 0.0000 0.0000 0.0000
Ir: 0.5000 0.5000 0.5000
Os: 0.0000 0.5000 0.0000
Al: 0.0000 0.0000 0.5000
Al: 0.5000 0.0000 0.0000

Q: Which formula does entry 4 have?
A: Al2ZnIrOs

Q: Among the records above, which one has the highest E?
A: Sn2GeBSb